Tb5YTm3, relaxed, DFT PBE; calculated formation energy = 0.134 eV per atom; E = -83.65 eV for the cell shown; energy relative to the lowest polymorph listed for this composition = 0.00 eV/f.u.; volume = 571.9 Å³/cell
1.0
-3.6072 8.6127 4.6021
3.6072 -8.6127 4.6021
3.6072 8.6127 -4.6021
Tb Y Tm
10 2 6
direct
0.1571 0.3174 0.3327
0.1571 0.8244 0.8396
0.2949 0.0449 0.2500
0.4847 0.3174 0.6604
0.4847 0.8244 0.1673
0.5153 0.1756 0.8327
0.5153 0.6826 0.3396
0.7051 0.9551 0.7500
0.8429 0.1756 0.1604
0.8429 0.6826 0.6673
0.3400 0.5900 0.7500
0.6600 0.4100 0.2500
0.0000 0.0000 0.5000
0.0000 0.5000 0.0000
0.1796 0.7478 0.4318
0.1840 0.2522 0.9318
0.8160 0.7478 0.0682
0.8204 0.2522 0.5682